Below is crystalline Pm3TiSn5 at its relaxed geometry, with properties calculated at the PBE level.

Lattice parameters (Å, degrees): 9.349 9.349 6.227 90.00 90.00 120.00
Sites, in units of the cell vectors:
Pm 0.000 0.386 0.250
Pm 0.000 0.614 0.750
Pm 0.386 0.000 0.250
Pm 0.386 0.386 0.750
Pm 0.614 0.000 0.750
Pm 0.614 0.614 0.250
Ti 0.000 0.000 0.000
Ti 0.000 0.000 0.500
Sn 0.000 0.258 0.750
Sn 0.000 0.742 0.250
Sn 0.258 0.000 0.750
Sn 0.258 0.258 0.250
Sn 0.333 0.667 0.000
Sn 0.333 0.667 0.500
Sn 0.667 0.333 0.000
Sn 0.667 0.333 0.500
Sn 0.742 0.000 0.250
Sn 0.742 0.742 0.750

- Fermi-level density of states: 0.751 states/eV/atom
- Total energy: -47.58 eV per formula unit
- Formation energy from the elements: -602 meV per atom
- Total moment: 0.007 μB/cell